BaSbAs3 PBE relaxed; theoretical density = 4.4 g/cm³; uncorrected formation energy = 1.223 eV/atom; energy above the most stable polymorph in this dataset = 1202 meV per atom; space-group type = Pm-3m
1.0
-2.824 -4.810 1.136
4.716 -2.230 2.278
-1.480 2.071 5.092
Sb As Ba
1 3 1
Direct
0.500 0.500 0.500 Sb
0.000 0.500 0.000 As
0.000 0.000 0.500 As
0.500 0.000 0.000 As
0.000 0.000 0.000 Ba